A plane-wave DFT calculation with PBE was carried out for an optimized crystal structure of ZnHg2TeOs.

Cell: 5.4464 5.4464 4.9440 Å, 90.00 90.00 90.00°
Fractional positions:
1 Zn 0.0000 0.0000 0.0000
2 Hg 0.0000 0.5000 0.5000
3 Hg 0.5000 0.0000 0.5000
4 Te 0.5000 0.5000 0.0000
5 Os 0.5000 0.5000 0.5000

Results
volume: 29.331 Å³/atom
formation energy from raw total energies: 0.5500 eV per atom
energy relative to the lowest polymorph listed for this composition: 0.000 eV per atom
total DFT energy (no corrections): -13.50 eV for the cell shown
space group: P4/mmm, No. 123